Density functional theory data (GGA-PBE) for a relaxed structure of Ta2TiTc. Values from VASP.

Geometry as Quantum ESPRESSO input:
```
&SYSTEM
  ibrav = 0, nat = 4, ntyp = 3
/
ATOMIC_SPECIES
Ti 47.87 Ti.upf
Tc 98.00 Tc.upf
Ta 180.95 Ta.upf
CELL_PARAMETERS angstrom
-0.9480 0.8936 -2.8963
2.2505 -1.8252 -1.2998
-4.2633 -5.1245 -0.1857
ATOMIC_POSITIONS angstrom
Ti -1.4804 -3.0281 -2.1909
Tc 0.6513 -0.4658 -2.0981
Ta -3.2532 -3.9104 -0.1417
Ta -1.0101 -1.2142 -0.0440
```

Results
Total DFT energy (no corrections) in eV per atom: -10.7294
Crystal system: tetragonal
Polymorph energy (0 for the lowest one) in eV/atom: 0.025
Formation enthalpy at 0 K in eV per atom: -0.238
Total magnetic moment in μB/atom: 0.000